LaPbF3: relaxed, PBE.

Energy above the lowest structure with this stoichiometry, meV/atom: 0
Total energy, eV/cell: -27.87
E_form (uncorrected), eV/atom: -2.724

Cell and atoms, written as POSCAR:
```
LaPbF3
1.0
4.772 0.000 0.000
0.000 4.772 0.000
0.000 0.000 4.772
La Pb F
1 1 3
Cartesian
0.000 0.000 0.000
2.386 2.386 2.386
0.000 0.000 2.386
0.000 2.386 0.000
2.386 0.000 0.000
```